Sr2CeCrO6 | PBE with a Hubbard U | optimized geometry

Summary:
Crystal system: monoclinic
Polymorph energy (0 for the lowest one): 0 meV per atom
Electronic total energy: -7.3281 eV/atom

Cell lengths 5.8357, 5.8344, 8.1918 Å; angles 90.00, 89.72, 90.00 degrees
With the nearest neighbours (Å) after each atom.
Sites, in units of the cell vectors:
Sr  0.0084  0.9716  0.2513  6 O 2.57-2.79
Sr  0.5084  0.5284  0.7513  6 O 2.57-2.79
Sr  0.9916  0.0284  0.7487  6 O 2.57-2.79
Sr  0.4916  0.4716  0.2487  6 O 2.57-2.79
Ce  0.5000  0.0000  0.5000  6 O 2.19-2.27
Ce  0.0000  0.5000  0.0000  6 O 2.19-2.27
Cr  0.5000  0.0000  0.0000  6 O 1.94-2.01
Cr  0.0000  0.5000  0.5000  6 O 1.94-2.01
O  0.3011  0.7388  0.0388  1 Cr 1.94
O  0.8011  0.7612  0.5388  1 Cr 1.94
O  0.6989  0.2612  0.9612  1 Cr 1.94
O  0.1989  0.2388  0.4612  1 Cr 1.94
O  0.2673  0.7104  0.4610  1 Cr 2.01, 1 Ce 2.19
O  0.7673  0.7896  0.9610  1 Cr 2.01, 1 Ce 2.19
O  0.7327  0.2896  0.5390  1 Cr 2.01, 1 Ce 2.19
O  0.2327  0.2104  0.0390  1 Cr 2.01, 1 Ce 2.19
O  0.9283  0.5157  0.2695  1 Cr 1.94
O  0.4283  0.9843  0.7695  1 Cr 1.94
O  0.0717  0.4843  0.7306  1 Cr 1.94
O  0.5717  0.0157  0.2305  1 Cr 1.94